# 1
The following is a PBE calculation of a relaxed Na2SnBi crystal, from Alexandria.

abc: 3.361 3.361 9.877
angles: 90.00 90.00 90.00
Atoms (fractional coordinates):
Na 0.000 0.000 0.749
Na 0.000 0.000 0.251
Sn 0.500 0.500 0.500
Bi 0.500 0.500 0.000

As for the uncorrected energy: -11.44 eV/cell. As for the size of the total moment: 0.00 μB/atom. For the formation energy, the calculation gives -230 meV per atom.

***

# 2
The following is a PBE calculation of a relaxed NaSnBi2 crystal, from Alexandria.

abc: 4.234 4.234 6.683
angles: 90.00 90.00 90.00
Atoms (fractional coordinates):
Na 0.500 0.500 0.500
Bi 0.000 0.000 0.751
Sn 0.500 0.500 0.000
Bi 0.000 0.000 0.249

As for the uncorrected energy: -13.38 eV/cell. As for the size of the total moment: 0.00 μB/atom. For the formation energy, the calculation gives -75 meV per atom.

***

> Which value of uncorrected energy does entry 2 give?

-13.38 eV/cell

***

> What is the uncorrected energy in the second record?

-13.38 eV/cell